A relaxed Ba3Re2O9 crystal. Source: OQMD, functional GGA-PBE.

## Properties
DFT total energy: -106.3 eV for the cell shown
volume: 14.0 Å³/atom

POSCAR file:
```
Ba3Re2O9
1.0
2.8595 1.6510 6.9140
-2.8595 1.6510 6.9140
0.0000 -3.3019 6.9140
Ba Re O
3 2 9
Cartesian
0.0000 0.0000 0.0000
0.0000 0.0000 4.3865
0.0000 0.0000 16.3557
0.0000 0.0000 8.1286
0.0000 0.0000 12.6135
-1.4298 -0.8255 6.9140
-1.3681 -0.7899 11.6455
0.0000 -1.5797 9.0966
-1.3681 0.7899 9.0966
-1.4298 0.8255 13.8281
0.0000 1.6510 6.9140
1.3681 -0.7899 11.6455
0.0000 1.5797 11.6455
1.3681 0.7899 9.0966
```